# 1
Crystalline Zr2TaHg at its relaxed geometry, computed with GGA-PBE.

Output
DFT formation energy (meV/atom): 85.9
Calculated volume (Å³/cell): 83.9

Cell lengths 3.202, 3.977, 6.591 Å; angles 90.00, 90.00, 90.00 degrees
Fractional coordinates of all 4 atoms:
1 Zr 0.000 0.000 0.000
2 Zr 0.500 0.500 0.265
3 Ta 0.500 0.500 0.763
4 Hg 0.000 0.000 0.518

# 2
Crystalline PmNpOsRu at its relaxed geometry, computed with GGA-PBE.

Output
DFT formation energy (meV/atom): 76.2
Calculated volume (Å³/cell): 80.7

Cell lengths 4.851, 4.851, 4.851 Å; angles 60.00, 60.00, 60.00 degrees
Fractional coordinates of all 4 atoms:
1 Pm 0.000 0.000 0.000
2 Np 0.500 0.500 0.500
3 Os 0.250 0.250 0.250
4 Ru 0.750 0.750 0.750